An optimized crystal structure of PbAu15. Source: OQMD, functional PBE.

Geometry as POSCAR:
```
PbAu15
1.0
-0.6836 5.8072 0.2692
-4.0215 -0.4441 -0.6332
-5.1301 -2.2226 34.1386
Au Pb
30 2
direct
0.6288 0.0000 0.2163
0.1256 0.0000 0.4785
0.3732 0.5000 0.6079
0.8760 0.5000 0.3484
0.3712 0.5000 0.7837
0.8745 0.5000 0.6946
0.1252 0.0000 0.7388
0.8744 0.5000 0.5214
0.3721 0.5000 0.1792
0.1255 0.0000 0.3054
0.1243 0.0000 0.5648
0.3759 0.5000 0.3492
0.1240 0.0000 0.6516
0.6268 0.0000 0.3921
0.6280 0.0000 0.8208
0.6257 0.0000 0.3054
0.1249 0.0000 0.3921
0.3751 0.5000 0.5216
0.8757 0.5000 0.4351
0.3754 0.5000 0.4352
0.3743 0.5000 0.6946
0.8748 0.5000 0.2612
0.6246 0.0000 0.5648
0.8751 0.5000 0.6079
0.1190 0.0000 0.2166
0.6241 0.0000 0.6508
0.6249 0.0000 0.4784
0.3754 0.5000 0.2634
0.6246 0.0000 0.7366
0.8810 0.5000 0.7834
0.8721 0.5000 0.1639
0.1279 0.0000 0.8361
```

Summary:
polymorph energy (0 for the lowest one): 0.021 eV/atom
V: 415 Å³/f.u.

An optimized crystal structure of Pb2Au7. Source: OQMD, functional PBE.

Geometry as POSCAR:
```
Pb2Au7
1.0
2.7815 -4.8178 0.0000
2.7815 4.8178 0.0000
-1.7406 0.0000 13.9562
Pb Au
4 14
direct
0.2110 0.2110 0.1063
0.2915 0.2915 0.3936
0.7085 0.7085 0.6064
0.7890 0.7890 0.8937
0.4697 0.1412 0.9235
0.0311 0.3602 0.5764
0.7503 0.3093 0.7501
0.1899 0.1899 0.7498
0.9689 0.6398 0.4236
0.8588 0.5303 0.0765
0.6398 0.9689 0.4236
0.3093 0.7503 0.7501
0.1412 0.4697 0.9235
0.6907 0.2497 0.2499
0.3602 0.0311 0.5764
0.8101 0.8101 0.2502
0.5303 0.8588 0.0765
0.2497 0.6907 0.2499
```

Summary:
polymorph energy (0 for the lowest one): 0.000 eV/atom
V: 187 Å³/f.u.

An optimized crystal structure of PbAu15. Source: OQMD, functional PBE.

Geometry as POSCAR:
```
PbAu15
1.0
-0.2863 3.0544 -4.9811
-2.9355 -0.0913 0.1127
-0.2931 39.0146 23.9710
Au Pb
30 2
direct
0.6329 0.5000 0.2059
0.1247 0.5000 0.7480
0.3671 0.0000 0.7941
0.3756 0.0000 0.1619
0.6248 0.5000 0.7485
0.3749 0.0000 0.3424
0.6244 0.5000 0.8381
0.1251 0.5000 0.5675
0.3749 0.0000 0.5225
0.8747 0.0000 0.7028
0.3750 0.0000 0.4326
0.6251 0.5000 0.6576
0.8750 0.0000 0.3425
0.6247 0.5000 0.2972
0.1250 0.5000 0.6575
0.1253 0.5000 0.2972
0.6251 0.5000 0.4775
0.8752 0.0000 0.5225
0.8750 0.0000 0.6125
0.8753 0.0000 0.2520
0.3754 0.0000 0.6125
0.3752 0.0000 0.7028
0.6246 0.5000 0.3876
0.8822 0.0000 0.7941
0.3752 0.0000 0.2515
0.8749 0.0000 0.4325
0.1250 0.5000 0.3875
0.1178 0.5000 0.2059
0.1248 0.5000 0.4775
0.6250 0.5000 0.5674
0.1249 0.5000 0.8504
0.8751 0.0000 0.1496
```

Summary:
polymorph energy (0 for the lowest one): 0.023 eV/atom
V: 394 Å³/f.u.

An optimized crystal structure of PbAu15. Source: OQMD, functional PBE.

Geometry as POSCAR:
```
PbAu15
1.0
8.3390 0.0000 0.0000
0.0000 45.5256 0.0000
0.0000 0.0000 4.1399
Au Pb
60 4
direct
0.1251 0.8859 0.5000
0.1246 0.8403 0.0000
0.3728 0.7495 0.5000
0.8749 0.9772 0.0000
0.6336 0.2948 0.0000
0.1251 0.1141 0.0000
0.1159 0.3012 0.0000
0.1244 0.7945 0.5000
0.6249 0.1596 0.5000
0.8749 0.0228 0.5000
0.6272 0.2505 0.5000
0.6104 0.3413 0.5000
0.6336 0.7052 0.5000
0.1244 0.2055 0.0000
0.3664 0.7052 0.0000
0.1159 0.6988 0.5000
0.6250 0.0684 0.5000
0.1203 0.7481 0.0000
0.3749 0.8860 0.0000
0.6104 0.6587 0.0000
0.3750 0.9316 0.5000
0.1249 0.9315 0.0000
0.8756 0.7945 0.0000
0.3751 0.8404 0.5000
0.3751 0.1596 0.0000
0.8797 0.2519 0.0000
0.8841 0.3012 0.5000
0.8754 0.8403 0.5000
0.3664 0.2948 0.5000
0.1203 0.2519 0.5000
0.3739 0.2052 0.5000
0.1251 0.9772 0.5000
0.6261 0.2052 0.0000
0.8754 0.1597 0.0000
0.6251 0.9772 0.5000
0.3750 0.0684 0.0000
0.8751 0.9315 0.5000
0.3749 0.9772 0.0000
0.6251 0.1140 0.0000
0.6261 0.7948 0.5000
0.8749 0.1141 0.5000
0.8841 0.6988 0.0000
0.6250 0.9316 0.0000
0.1249 0.0685 0.5000
0.8749 0.8859 0.0000
0.3749 0.1140 0.5000
0.8756 0.2055 0.5000
0.6272 0.7495 0.0000
0.3896 0.3413 0.0000
0.3728 0.2505 0.0000
0.1246 0.1597 0.5000
0.8751 0.0685 0.0000
0.1251 0.0228 0.0000
0.3749 0.0228 0.5000
0.3896 0.6587 0.5000
0.8797 0.7481 0.5000
0.3739 0.7948 0.0000
0.6251 0.0228 0.0000
0.6251 0.8860 0.5000
0.6249 0.8404 0.0000
0.1610 0.6450 0.0000
0.8390 0.6450 0.5000
0.8390 0.3550 0.0000
0.1610 0.3550 0.5000
```

Summary:
polymorph energy (0 for the lowest one): 0.004 eV/atom
V: 393 Å³/f.u.

An optimized crystal structure of PbAu17. Source: OQMD, functional PBE.

Geometry as POSCAR:
```
PbAu17
1.0
-0.7319 6.9691 7.2592
-0.9623 -4.2170 3.9515
32.7316 -2.4158 5.3927
Au Pb
68 4
direct
0.1635 0.5000 0.3542
0.3315 0.0000 0.4999
0.6663 0.5000 0.5728
0.0852 0.2549 0.7188
0.2475 0.2498 0.4271
0.5849 0.7454 0.7188
0.7476 0.2500 0.4272
0.4977 0.5000 0.4275
0.5825 0.2497 0.2822
0.9977 0.5000 0.4270
0.7508 0.2510 0.6456
0.3321 0.5000 0.7199
0.4141 0.2509 0.3545
0.3307 0.5000 0.2816
0.0813 0.2466 0.2795
0.1630 0.0000 0.3539
0.5820 0.7505 0.5001
0.0008 0.0000 0.6457
0.1667 0.0000 0.5728
0.0820 0.2503 0.5000
0.8321 0.5000 0.7201
0.6641 0.5000 0.3548
0.1665 0.5000 0.5729
0.9166 0.2496 0.5727
0.8318 0.5000 0.5002
0.9179 0.7531 0.7918
0.7476 0.7500 0.4272
0.6666 0.0000 0.5731
0.9978 0.0000 0.4273
0.3313 0.5000 0.5003
0.3338 0.0000 0.7175
0.4170 0.2469 0.7919
0.6675 0.0000 0.7912
0.5000 0.5000 0.6457
0.6648 0.0000 0.3544
0.9179 0.2469 0.7918
0.9147 0.7509 0.3542
0.2616 0.7548 0.2071
0.5849 0.2546 0.7188
0.0820 0.7497 0.5000
0.5825 0.7503 0.2822
0.9166 0.7504 0.5727
0.2506 0.7493 0.6455
0.4170 0.7531 0.7919
0.2475 0.7502 0.4271
0.4166 0.2500 0.5728
0.5046 0.0000 0.2068
0.8339 0.0000 0.7176
0.9147 0.2491 0.3542
0.5820 0.2495 0.5001
0.2616 0.2452 0.2071
0.0813 0.7534 0.2795
0.5009 0.0000 0.6458
0.2506 0.2507 0.6455
0.7483 0.2441 0.2074
0.3317 0.0000 0.2823
0.0852 0.7451 0.7188
0.7508 0.7490 0.6456
0.8315 0.0000 0.5000
0.9997 0.5000 0.6456
0.5051 0.5000 0.2073
0.4166 0.7500 0.5728
0.4141 0.7491 0.3545
0.8368 0.0000 0.2801
0.1675 0.0000 0.7913
0.4977 0.0000 0.4270
0.7483 0.7559 0.2074
0.8333 0.5000 0.2818
0.1672 0.5000 0.8163
0.6674 0.5000 0.8155
0.0028 0.5000 0.2027
0.0114 0.0000 0.1725
```

Summary:
polymorph energy (0 for the lowest one): 0.009 eV/atom
V: 492 Å³/f.u.

An optimized crystal structure of Pb5Au4. Source: OQMD, functional PBE.

Geometry as POSCAR:
```
Pb5Au4
1.0
-2.6657 3.7244 -3.6144
2.8270 -4.6303 -2.1470
-7.0334 -4.5334 0.5160
Pb Au
5 4
direct
0.6667 0.3333 0.1923
0.3333 0.6667 0.8077
0.0000 0.0000 0.5000
0.3333 0.6667 0.1923
0.6667 0.3333 0.8077
0.5000 0.0000 0.5000
0.0000 0.0000 0.0000
0.0000 0.5000 0.5000
0.5000 0.5000 0.5000
```

Summary:
electronic total energy: -3.398 eV per atom
V: 247 Å³/f.u.

An optimized crystal structure of PbAu8. Source: OQMD, functional PBE.

Geometry as POSCAR:
```
PbAu8
1.0
-0.7544 4.8389 0.9437
-1.2788 2.4234 4.1673
29.2236 3.0851 7.0655
Au Pb
16 2
direct
0.9486 0.9486 0.0475
0.6502 0.6502 0.0157
0.4508 0.4508 0.8891
0.4484 0.4484 0.2093
0.5516 0.5516 0.7907
0.0514 0.0514 0.9525
0.5492 0.5492 0.1109
0.2486 0.2486 0.0803
0.7514 0.7514 0.9197
0.1471 0.1471 0.1754
0.3498 0.3498 0.9843
0.8498 0.8498 0.1437
0.1502 0.1502 0.8563
0.7533 0.7533 0.2412
0.8529 0.8529 0.8246
0.2467 0.2467 0.7588
0.9432 0.9432 0.7204
0.0568 0.0568 0.2796
```

Summary:
electronic total energy: -3.298 eV per atom
V: 280 Å³/f.u.

An optimized crystal structure of Pb5Au2. Source: OQMD, functional PBE.

Geometry as POSCAR:
```
Pb5Au2
1.0
4.6514 -6.9257 -1.3789
6.2188 -4.7897 3.1446
1.8545 -7.6897 2.9885
Au Pb
2 5
direct
0.0461 0.0461 0.0461
0.4897 0.4897 0.4897
0.3595 0.3595 0.3595
0.9119 0.9119 0.9119
0.7680 0.7680 0.7680
0.1757 0.1757 0.1757
0.6241 0.6241 0.6241
```

Summary:
electronic total energy: -3.578 eV per atom
V: 188 Å³/f.u.